Computed, not measured: Ga2CuPt3 after structural relaxation at the GGA-PBE level of DFT.

Output
**Calculated formation energy**: -0.44 eV per atom
**Magnetization**: 0.00 μB per formula unit
**Excess energy over the best structure of this formula in the dataset**: 9 meV/atom
**Raw total energy**: -5.151 eV per atom

a = 5.221 Å, b = 13.250 Å, c = 5.330 Å
α = 90.00°, β = 90.00°, γ = 90.00°
Space group Ibam (No. 72)
Unique sites:
Ga 0.218 0.140 0.000
Cu 0.000 0.500 0.250
Pt 0.000 0.000 0.250
Pt 0.203 0.328 0.000